A relaxed Ba2ScReO6 crystal, computed with PBEsol.

The structure in CIF format:
```
data_Ba2ScReO6
_chemical_formula_sum 'Ba8 Sc4 Re4 O24'
_cell_length_a 8.136
_cell_length_b 8.136
_cell_length_c 8.136
_cell_angle_alpha 90.00
_cell_angle_beta 90.00
_cell_angle_gamma 90.00
_symmetry_space_group_name_H-M 'F m -3 m'
_symmetry_Int_Tables_number 225
_symmetry_space_group_name_Hall '-F 4 2 3'
loop_
_atom_site_label
_atom_site_type_symbol
_atom_site_fract_x
_atom_site_fract_y
_atom_site_fract_z
_atom_site_occupancy
Ba1 Ba 0.250 0.250 0.250 1
Sc1 Sc 0.000 0.000 0.000 1
Re1 Re 0.000 0.000 0.500 1
O1 O 0.000 0.000 0.258 1
```

***

A relaxed Ba4ScReWO12 crystal, computed with PBEsol.

The structure in CIF format:
```
data_Ba4ScReWO12
_chemical_formula_sum 'Ba12 Sc3 Re3 W3 O36'
_cell_length_a 5.7487
_cell_length_b 5.7487
_cell_length_c 27.8370
_cell_angle_alpha 90.00
_cell_angle_beta 90.00
_cell_angle_gamma 120.00
_symmetry_space_group_name_H-M 'R 3 m'
_symmetry_Int_Tables_number 160
_symmetry_space_group_name_Hall 'R 3 -2"'
loop_
_atom_site_label
_atom_site_type_symbol
_atom_site_fract_x
_atom_site_fract_y
_atom_site_fract_z
_atom_site_occupancy
Ba1 Ba 0.0000 0.0000 0.0000 1
Ba2 Ba 0.0000 0.0000 0.1547 1
Ba3 Ba 0.0000 0.0000 0.4200 1
Ba4 Ba 0.0000 0.0000 0.5812 1
Sc1 Sc 0.0000 0.0000 0.2909 1
Re1 Re 0.0000 0.0000 0.8693 1
W1 W 0.0000 0.0000 0.7106 1
O1 O 0.0126 0.5063 0.4108 1
O2 O 0.0185 0.5093 0.5789 1
O3 O 0.1732 0.3464 0.3316 1
O4 O 0.1764 0.3528 0.5018 1
```

***

Here are the calculated ΔE_f (raw) numbers, same order: -2696 -2694 (meV per atom).
Here are the calculated DFT total energy numbers, same order: -8.269 -8.238 (eV/atom).